{
  "formula": "MgFePO2",
  "functional": "GGA+U",
  "state": "relaxed",
  "sg": "P4/mmm (123)",
  "final_energy_ry_per_atom": -0.3401,
  "cell": [[3.8100, 0.0000, 0.0000], [0.0000, 3.8100, 0.0000], [0.0000, 0.0000, 5.2929]],
  "species": ["P", "Mg", "Fe", "O", "O"],
  "frac_coords": [[0.0000, 0.0000, 0.5000], [0.0000, 0.0000, 0.0000], [0.5000, 0.5000, 0.5000], [0.0000, 0.5000, 0.0000], [0.5000, 0.0000, 0.0000]]
}